1.
10
Lattice="4.320 0.000 0.000 0.000 4.320 0.000 0.000 0.000 11.093" Properties=species:S:1:pos:R:3 comment="PBE La2ErGe4Ir3, relaxed" total_magnetization_mub_per_fu=0.0 mass_density_g_cm3=10.524 spacegroup="No. 115" e_form_ev_per_atom=-0.783 pbc="T T T"
La 0.000 2.160 2.546
La 2.160 0.000 8.547
Er 0.000 0.000 5.546
Ge 0.000 0.000 0.000
Ge 0.000 2.160 7.346
Ge 2.160 0.000 3.747
Ge 2.160 2.160 0.000
Ir 0.000 2.160 9.811
Ir 2.160 0.000 1.282
Ir 2.160 2.160 5.546

***

2.
10
Lattice="4.215 0.000 0.000 0.000 4.215 0.000 0.000 0.000 10.149" Properties=species:S:1:pos:R:3 comment="PBE LiEr2Ge4Ir3, relaxed" total_magnetization_mub_per_fu=0.0 mass_density_g_cm3=11.132 spacegroup="No. 115" e_form_ev_per_atom=-0.683 pbc="T T T"
Li 0.000 0.000 0.000
Er 0.000 2.107 7.551
Er 2.107 0.000 2.598
Ge 0.000 0.000 5.074
Ge 0.000 2.107 1.329
Ge 2.107 0.000 8.819
Ge 2.107 2.107 5.074
Ir 0.000 2.107 3.754
Ir 2.107 0.000 6.395
Ir 2.107 2.107 0.000

***

3.
5
Lattice="-2.041 2.041 5.271 2.041 -2.041 5.271 2.041 2.041 -5.271" Properties=species:S:1:pos:R:3 comment="PBE LiErGe2Ir, relaxed" total_magnetization_mub_per_fu=0.0 mass_density_g_cm3=9.673 spacegroup="No. 119" e_form_ev_per_atom=-0.641 pbc="T T T"
Li 0.000 0.000 0.000
Er 0.000 2.041 2.635
Ge 2.041 0.000 1.390
Ge 2.041 0.000 3.881
Ir 0.000 0.000 5.271

***

4.
4
Lattice="0.000 3.454 3.454 3.454 0.000 3.454 3.454 3.454 0.000" Properties=species:S:1:pos:R:3 comment="PBE ErLuGeIr, relaxed" total_magnetization_mub_per_fu=0.0 mass_density_g_cm3=12.237 spacegroup="No. 216" e_form_ev_per_atom=-0.736 pbc="T T T"
Er 0.000 0.000 0.000
Lu 3.454 3.454 3.454
Ge 5.180 5.180 5.180
Ir 1.727 1.727 1.727